1.
Material: MgCoTeI2
Method: DFT, meta-GGA SCAN
State: single point on PBEsol structure

Output
- size of the total moment (μB per cell) = 1.280
- E (eV/atom) = -26.46
- calculated volume (Å³/f.u.) = 135.7
- DOS(E_F) (states/eV per cell) = 3.397

abc: 5.2409 5.2409 4.9414
angles: 90.00 90.00 90.00
Closest atoms and distances in Å follow each position.
Sites, in units of the cell vectors:
Mg  0.0000  0.0000  0.0000  8 I 3.60, 4 Te 3.71
Co  0.5000  0.5000  0.5000  2 Te 2.47, 4 I 2.62
Te  0.5000  0.5000  0.0000  2 Co 2.47
I  0.0000  0.5000  0.5000  2 Co 2.62
I  0.5000  0.0000  0.5000  2 Co 2.62

***

2.
Material: MnCoI2O
Method: DFT, meta-GGA SCAN
State: single point on PBEsol structure

Output
- size of the total moment (μB per cell) = 7.698
- E (eV/atom) = -23.25
- calculated volume (Å³/f.u.) = 99.2
- DOS(E_F) (states/eV per cell) = 1.823

abc: 5.2940 5.2940 3.5392
angles: 90.00 90.00 90.00
Closest atoms and distances in Å follow each position.
Sites, in units of the cell vectors:
Mn  0.0000  0.0000  0.0000  8 I 3.18, 2 Mn 3.54
Co  0.5000  0.5000  0.5000  2 O 1.77
I  0.0000  0.5000  0.5000  2 Co 2.65
I  0.5000  0.0000  0.5000  2 Co 2.65
O  0.5000  0.5000  0.0000  2 Co 1.77

***

3.
Material: CoMo2PtI
Method: DFT, meta-GGA SCAN
State: single point on PBEsol structure

Output
- size of the total moment (μB per cell) = 0.879
- E (eV/atom) = -37.20
- calculated volume (Å³/f.u.) = 92.2
- DOS(E_F) (states/eV per cell) = 5.519

abc: 4.3908 4.3908 4.7802
angles: 90.00 90.00 90.00
Closest atoms and distances in Å follow each position.
Sites, in units of the cell vectors:
Co  0.0000  0.0000  0.0000  4 Mo 2.20, 2 I 2.39
Mo  0.0000  0.5000  0.0000  2 Co 2.20
Mo  0.5000  0.0000  0.0000  2 Co 2.20
Pt  0.5000  0.5000  0.5000  4 I 3.10, 8 Mo 3.25
I  0.0000  0.0000  0.5000  2 Co 2.39

***

4.
Material: CoSbMoI2
Method: DFT, meta-GGA SCAN
State: single point on PBEsol structure

Output
- size of the total moment (μB per cell) = 5.260
- E (eV/atom) = -31.54
- calculated volume (Å³/f.u.) = 127.3
- DOS(E_F) (states/eV per cell) = 3.569

abc: 5.1543 5.1543 4.7935
angles: 90.00 90.00 90.00
Closest atoms and distances in Å follow each position.
Sites, in units of the cell vectors:
Co  0.0000  0.0000  0.0000  2 Sb 2.40, 4 I 2.58
Sb  0.0000  0.0000  0.5000  2 Co 2.40
Mo  0.5000  0.5000  0.5000  8 I 3.52, 4 Sb 3.64
I  0.0000  0.5000  0.0000  2 Co 2.58
I  0.5000  0.0000  0.0000  2 Co 2.58

***

Table of energy relative to the elements, uncorrected (meV/atom), in record order: 146 -195 1603 1051